# AgMo2WI

A geometry-optimized AgMo2WI structure (PBE, Alexandria via LeMat-Bulk).

Lattice parameters (Å, degrees): 4.8556 4.8828 4.8556 90.00 90.00 90.00
Positions (direct):
I1 0.0000 0.0000 0.0000
Mo1 0.0000 0.0000 0.5000
Mo2 0.5000 0.0000 0.0000
Ag1 0.5000 0.5000 0.5000
W1 0.0000 0.5000 0.0000

Summary:
Formation energy (no corrections), eV/atom: 2.3509
V, Å³/atom: 23.02
D(E_F), states/eV/f.u.: 4.22
Calculated total energy, eV per atom: -5.45

---

# Zr2SiAs

A geometry-optimized Zr2SiAs structure (PBE, Alexandria via LeMat-Bulk).

Lattice parameters (Å, degrees): 3.8424 3.8424 5.4559 90.00 90.00 90.00
Positions (direct):
As1 0.0000 0.0000 0.3750
Si1 0.5000 0.5000 0.8750
Zr1 0.0000 0.0000 0.8750
Zr2 0.5000 0.5000 0.3750

Summary:
Formation energy (no corrections), eV/atom: -0.9114
V, Å³/atom: 20.14
D(E_F), states/eV/f.u.: 1.82
Distance to the lowest polymorph of the same formula, meV per atom: 3
Calculated total energy, eV per atom: -7.70

---

# Hf12V5Sn3

A geometry-optimized Hf12V5Sn3 structure (PBE, Alexandria via LeMat-Bulk).

Lattice parameters (Å, degrees): 13.7695 13.7695 13.7695 109.47 109.47 109.47
Each line ends with the local moment (μB).
Positions (direct):
Sn1 0.7500 0.3750 0.1250  0.00
Sn2 0.8750 0.7500 0.1250  0.00
Sn3 0.3750 0.7500 0.6250  0.00
Sn4 0.2500 0.1250 0.3750  0.00
Sn5 0.8750 0.1250 0.2500  0.00
Sn6 0.3750 0.6250 0.2500  0.00
Sn7 0.6250 0.3750 0.7500  0.00
Sn8 0.1250 0.8750 0.7500  0.00
Sn9 0.7500 0.8750 0.6250  0.00
Sn10 0.6250 0.2500 0.3750  0.00
Sn11 0.1250 0.2500 0.8750  0.00
Sn12 0.2500 0.6250 0.8750  0.00
V1 0.1250 0.3750 0.2500  2.51
V2 0.0000 0.5000 0.0000  0.10
V3 0.0000 0.0000 0.0000  0.10
V4 0.3750 0.2500 0.1250  2.51
V5 0.5000 0.0000 0.5000  0.10
V6 0.5000 0.5000 0.0000  0.10
V7 0.1250 0.7500 0.3750  2.51
V8 0.7500 0.1250 0.8750  2.51
V9 0.7500 0.6250 0.3750  2.51
V10 0.3750 0.1250 0.7500  2.51
V11 0.6250 0.8750 0.2500  2.51
V12 0.5000 0.5000 0.5000  0.10
V13 0.5000 0.0000 0.0000  0.10
V14 0.0000 0.0000 0.5000  0.10
V15 0.2500 0.3750 0.6250  2.51
V16 0.2500 0.8750 0.1250  2.51
V17 0.0000 0.5000 0.5000  0.10
V18 0.8750 0.2500 0.6250  2.51
V19 0.6250 0.7500 0.8750  2.51
V20 0.8750 0.6250 0.7500  2.51
Hf1 0.7075 0.1190 0.0458  0.06
Hf2 0.3383 0.5458 0.4269  0.06
Hf3 0.9542 0.3810 0.2925  0.06
Hf4 0.5458 0.2075 0.1190  0.06
Hf5 0.5885 0.7075 0.6617  0.06
Hf6 0.9542 0.5731 0.1617  0.06
Hf7 0.3383 0.7925 0.4115  0.06
Hf8 0.0731 0.9115 0.1190  0.06
Hf9 0.5731 0.9542 0.6617  0.06
Hf10 0.7075 0.5885 0.1617  0.06
Hf11 0.7925 0.4542 0.3810  0.06
Hf12 0.8383 0.9269 0.0458  0.06
Hf13 0.1190 0.7075 0.5458  0.06
Hf14 0.3810 0.4269 0.0885  0.06
Hf15 0.0885 0.9269 0.3810  0.06
Hf16 0.4115 0.1190 0.5731  0.06
Hf17 0.0885 0.1617 0.2075  0.06
Hf18 0.4542 0.6617 0.0731  0.06
Hf19 0.8383 0.9115 0.2925  0.06
Hf20 0.1190 0.4115 0.0731  0.06
Hf21 0.3810 0.9542 0.7925  0.06
Hf22 0.5731 0.6190 0.4115  0.06
Hf23 0.9269 0.8383 0.5458  0.06
Hf24 0.7925 0.3383 0.9115  0.06
Hf25 0.4269 0.3810 0.5885  0.06
Hf26 0.0731 0.1617 0.4542  0.06
Hf27 0.2075 0.6617 0.0885  0.06
Hf28 0.1617 0.0885 0.7075  0.06
Hf29 0.6190 0.0458 0.2075  0.06
Hf30 0.8810 0.5885 0.9269  0.06
Hf31 0.5458 0.3383 0.9269  0.06
Hf32 0.5885 0.8810 0.4269  0.06
Hf33 0.9115 0.8383 0.7925  0.06
Hf34 0.9115 0.0731 0.6190  0.06
Hf35 0.8810 0.2925 0.4542  0.06
Hf36 0.1617 0.0731 0.9542  0.06
Hf37 0.6190 0.5731 0.9115  0.06
Hf38 0.4269 0.0458 0.3383  0.06
Hf39 0.2925 0.4115 0.8383  0.06
Hf40 0.2075 0.5458 0.6190  0.06
Hf41 0.9269 0.0885 0.8810  0.06
Hf42 0.6617 0.2075 0.5885  0.06
Hf43 0.4542 0.7925 0.8810  0.06
Hf44 0.0458 0.4269 0.8383  0.06
Hf45 0.4115 0.2925 0.3383  0.06
Hf46 0.0458 0.6190 0.7075  0.06
Hf47 0.6617 0.4542 0.5731  0.06
Hf48 0.2925 0.8810 0.9542  0.06

Summary:
Calculated formation energy, meV/atom: 985
V, Å³/atom: 25.12
D(E_F), states/eV/f.u.: 21.60
Calculated total energy, eV per atom: -7.87

---

# MnAu3N

A geometry-optimized MnAu3N structure (PBE, Alexandria via LeMat-Bulk).

Lattice parameters (Å, degrees): 4.7397 4.7397 4.7397 90.00 90.00 90.00
Positions (direct):
Mn1 0.0000 0.0000 0.0000
Au1 0.0000 0.5000 0.0000
Au2 0.0000 0.0000 0.5000
Au3 0.5000 0.0000 0.0000
N1 0.5000 0.5000 0.5000

Summary:
Formation energy (no corrections), eV/atom: 2.3030
V, Å³/atom: 21.29
D(E_F), states/eV/f.u.: 16.03
Distance to the lowest polymorph of the same formula, meV per atom: 1462
Calculated total energy, eV per atom: -3.16

---

# Ac5Ge2Pb2

A geometry-optimized Ac5Ge2Pb2 structure (PBE, Alexandria via LeMat-Bulk).

Lattice parameters (Å, degrees): 9.8927 7.1850 11.1488 108.80 116.34 90.00
Positions (direct):
Ac1 0.2194 0.6576 0.8782
Ac2 0.7806 0.7794 0.1218
Ac3 0.1588 0.1576 0.8782
Ac4 0.8412 0.2794 0.1218
Ac5 0.2727 0.1215 0.2968
Ac6 0.7273 0.8246 0.7032
Ac7 0.5241 0.6215 0.2968
Ac8 0.4759 0.3246 0.7032
Ac9 0.1861 0.7323 0.5000
Ac10 0.8139 0.2323 0.5000
Ge1 0.0000 0.9288 0.0000
Ge2 0.5000 0.4288 0.0000
Ge3 0.1245 0.2688 0.5000
Ge4 0.8755 0.7688 0.5000
Pb1 0.1415 0.5901 0.1571
Pb2 0.8585 0.4330 0.8429
Pb3 0.5156 0.0901 0.1571
Pb4 0.4844 0.9330 0.8429

Summary:
Calculated formation energy, meV/atom: -494
V, Å³/atom: 36.82
D(E_F), states/eV/f.u.: 6.32
Distance to the lowest polymorph of the same formula, meV per atom: 114
Calculated total energy, eV per atom: -4.63

---

# Ca2IrRhO8

A geometry-optimized Ca2IrRhO8 structure (PBE, Alexandria via LeMat-Bulk).

Lattice parameters (Å, degrees): 5.0308 5.0062 6.4350 90.00 90.00 91.35
Each line ends with the local moment (μB).
Positions (direct):
Ca1 0.5000 0.5000 0.7472  0.01
Ca2 0.5000 0.5000 0.2528  0.01
Ir1 0.0000 0.0000 0.0000  0.08
Rh1 0.0000 0.0000 0.5000  0.85
O1 0.1692 0.8273 0.2423  -0.03
O2 0.7365 0.7390 0.0000  0.09
O3 0.8308 0.1727 0.2423  -0.03
O4 0.8308 0.1727 0.7577  -0.03
O5 0.2635 0.2610 0.0000  0.09
O6 0.1692 0.8273 0.7577  -0.03
O7 0.7304 0.7336 0.5000  0.38
O8 0.2696 0.2664 0.5000  0.38

Summary:
Formation energy (no corrections), eV/atom: -1.3374
V, Å³/atom: 13.50
D(E_F), states/eV/f.u.: 2.96
Calculated total energy, eV per atom: -6.33

---

# ZnCr2Cl

A geometry-optimized ZnCr2Cl structure (PBE, Alexandria via LeMat-Bulk).

Lattice parameters (Å, degrees): 3.0676 3.2638 7.0896 90.00 90.00 90.00
Each line ends with the local moment (μB).
Positions (direct):
Cr1 0.0000 0.7500 0.0357  3.55
Cr2 0.0000 0.7500 0.4643  3.55
Zn1 0.5000 0.2500 0.2500  -0.04
Cl1 0.5000 0.7500 0.7500  -0.01

Summary:
Formation energy (no corrections), eV/atom: 0.2362
V, Å³/atom: 17.74
D(E_F), states/eV/f.u.: 3.11
Distance to the lowest polymorph of the same formula, meV per atom: 123
Calculated total energy, eV per atom: -5.36

---

# La2GaS

A geometry-optimized La2GaS structure (PBE, Alexandria via LeMat-Bulk).

Lattice parameters (Å, degrees): 4.1963 4.3226 12.1501 100.25 90.00 90.00
Positions (direct):
La1 0.7500 0.6877 0.3754
La2 0.2500 0.3123 0.6246
La3 0.7500 0.9297 0.8595
La4 0.2500 0.0703 0.1405
Ga1 0.2500 0.4658 0.9316
Ga2 0.7500 0.5342 0.0684
S1 0.2500 0.1917 0.3834
S2 0.7500 0.8083 0.6166

Summary:
Formation energy (no corrections), eV/atom: -1.3591
V, Å³/atom: 27.11
D(E_F), states/eV/f.u.: 3.81
Distance to the lowest polymorph of the same formula, meV per atom: 0
Calculated total energy, eV per atom: -5.61

---

Question: The highest V belongs to which entry?
Answer: Ac5Ge2Pb2